[1]
# PBE Ba2NiP, optimized geometry
data_Ba2NiP
_chemical_formula_sum 'Ba4 Ni2 P2'
_space_group_name_H-M_alt 'A m m 2'
_space_group_IT_number 38
_cell_length_a 4.2820
_cell_length_b 5.0153
_cell_length_c 10.6295
_cell_angle_alpha 90.00
_cell_angle_beta 90.00
_cell_angle_gamma 90.00
loop_
_space_group_symop_operation_xyz
'x,y,z'
'-x,-y,z'
'-x,y,z'
'x,-y,z'
'x,y+1/2,z+1/2'
'-x,-y+1/2,z+1/2'
'-x,y+1/2,z+1/2'
'x,-y+1/2,z+1/2'
loop_
_atom_site_label
_atom_site_fract_x
_atom_site_fract_y
_atom_site_fract_z
Ba1 0.0000 0.0000 0.0000
Ba2 0.5000 0.0000 0.3038
Ni1 0.0000 0.0000 0.6775
P1 0.5000 0.0000 0.6165
# ΔE_f: -2.18 eV per formula unit
# VASP energy: -4.305 eV/atom

[2]
# PBE Ca4DyHo3Se8, optimized geometry
data_Ca4DyHo3Se8
_chemical_formula_sum 'Ca12 Dy3 Ho9 Se24'
_space_group_name_H-M_alt 'R -3 m'
_space_group_IT_number 166
_space_group_name_Hall '-R 3 2"'
_cell_length_a 8.1926
_cell_length_b 8.1926
_cell_length_c 20.4582
_cell_angle_alpha 90.00
_cell_angle_beta 90.00
_cell_angle_gamma 120.00
loop_
_atom_site_label
_atom_site_fract_x
_atom_site_fract_y
_atom_site_fract_z
Ca1 0.0000 0.0000 0.0000
Ca2 0.0000 0.5000 0.0000
Dy1 0.0000 0.0000 0.5000
Ho1 0.0000 0.5000 0.5000
Se1 0.0000 0.0000 0.2480
Se2 0.0009 0.5004 0.7518
# VASP energy: -5.254 eV/atom
# ΔE_f (raw): -1.866 eV per atom

[3]
# PBE MoPt2W, optimized geometry
data_MoPt2W
_chemical_formula_sum 'Mo2 Pt4 W2'
_space_group_name_H-M_alt 'C m m m'
_space_group_IT_number 65
_space_group_name_Hall '-C 2 2'
_cell_length_a 5.4708
_cell_length_b 8.3086
_cell_length_c 2.7318
_cell_angle_alpha 90.00
_cell_angle_beta 90.00
_cell_angle_gamma 90.00
loop_
_atom_site_label
_atom_site_fract_x
_atom_site_fract_y
_atom_site_fract_z
Mo1 0.0000 0.0000 0.0000
Pt1 0.2500 0.2500 0.5000
W1 0.0000 0.5000 0.0000
# E above lowest polymorph: 0.056 eV/atom
# ΔE_f: -0.97 eV per formula unit
# VASP energy: -9.210 eV/atom

[4]
# PBE BaSrRu, optimized geometry
data_BaSrRu
_chemical_formula_sum 'Ba2 Sr2 Ru2'
_space_group_name_H-M_alt 'I 4 m m'
_space_group_IT_number 107
_space_group_name_Hall 'I 4 -2'
_cell_length_a 3.7313
_cell_length_b 3.7313
_cell_length_c 15.0233
_cell_angle_alpha 90.00
_cell_angle_beta 90.00
_cell_angle_gamma 90.00
loop_
_atom_site_label
_atom_site_fract_x
_atom_site_fract_y
_atom_site_fract_z
Ba1 0.0000 0.0000 0.0000
Sr1 0.0000 0.0000 0.2397
Ru1 0.0000 0.0000 0.6241
# E above lowest polymorph: 0.000 eV/atom
# ΔE_f: 1.32 eV per formula unit
# VASP energy: -3.852 eV/atom

[5]
# PBE AlRh2Br, optimized geometry
data_AlRh2Br
_chemical_formula_sum 'Al3 Rh6 Br3'
_space_group_name_H-M_alt 'R 3 m'
_space_group_IT_number 160
_space_group_name_Hall 'R 3 -2"'
_cell_length_a 3.1176
_cell_length_b 3.1176
_cell_length_c 23.9470
_cell_angle_alpha 90.00
_cell_angle_beta 90.00
_cell_angle_gamma 120.00
loop_
_atom_site_label
_atom_site_fract_x
_atom_site_fract_y
_atom_site_fract_z
Al1 0.0000 0.0000 0.0000
Rh1 0.0000 0.0000 0.4901
Rh2 0.0000 0.0000 0.7376
Br1 0.0000 0.0000 0.2499
# E above lowest polymorph: 0.408 eV/atom
# VASP energy: -4.938 eV/atom
# ΔE_f (raw): 0.092 eV per atom

[6]
# PBE Ac3Si2Pt9, optimized geometry
data_Ac3Si2Pt9
_chemical_formula_sum 'Ac6 Si4 Pt18'
_space_group_name_H-M_alt 'P 63/m m c'
_space_group_IT_number 194
_space_group_name_Hall '-P 6c 2c'
_cell_length_a 6.0664
_cell_length_b 6.0664
_cell_length_c 17.8456
_cell_angle_alpha 90.00
_cell_angle_beta 90.00
_cell_angle_gamma 120.00
loop_
_atom_site_label
_atom_site_fract_x
_atom_site_fract_y
_atom_site_fract_z
Ac1 0.0000 0.0000 0.2500
Ac2 0.3333 0.6667 0.0856
Si1 0.3333 0.6667 0.6552
Pt1 0.0190 0.5095 0.2500
Pt2 0.1584 0.3168 0.5683
# VASP energy: -6.470 eV/atom
# ΔE_f (raw): -0.932 eV per atom

[7]
# PBE LaPN2, optimized geometry
data_LaPN2
_chemical_formula_sum 'La4 P4 N8'
_space_group_name_H-M_alt 'C 1 c 1'
_space_group_IT_number 9
_cell_length_a 5.2970
_cell_length_b 9.8283
_cell_length_c 4.8979
_cell_angle_alpha 90.00
_cell_angle_beta 95.33
_cell_angle_gamma 90.00
loop_
_space_group_symop_operation_xyz
'x,y,z'
'x,-y,z+1/2'
'x+1/2,y+1/2,z'
'x+1/2,-y+1/2,z+1/2'
loop_
_atom_site_label
_atom_site_fract_x
_atom_site_fract_y
_atom_site_fract_z
La1 0.0000 0.1855 0.0000
P1 0.0197 0.4483 0.5762
N1 0.0007 0.2871 0.4664
N2 0.3472 0.0530 0.3535
# VASP energy: -7.707 eV/atom
# ΔE_f (raw): -0.960 eV per atom

[8]
# PBE Be2Hg2TeO6, optimized geometry
data_Be2Hg2TeO6
_chemical_formula_sum 'Be2 Hg2 Te1 O6'
_space_group_name_H-M_alt 'P -3'
_space_group_IT_number 147
_cell_length_a 5.0020
_cell_length_b 5.0020
_cell_length_c 7.0045
_cell_angle_alpha 90.00
_cell_angle_beta 90.00
_cell_angle_gamma 120.00
loop_
_space_group_symop_operation_xyz
'x,y,z'
'-x,-y,-z'
'-y,x-y,z'
'y,-x+y,-z'
'-x+y,-x,z'
'x-y,x,-z'
loop_
_atom_site_label
_atom_site_fract_x
_atom_site_fract_y
_atom_site_fract_z
Be1 0.3333 0.6667 0.3573
Hg1 0.3333 0.6667 0.8892
Te1 0.0000 0.0000 0.5000
O1 0.0481 0.7097 0.3386
# VASP energy: -4.987 eV/atom
# ΔE_f (raw): -1.265 eV per atom

[9]
# PBE Pm5GaBi4, optimized geometry
data_Pm5GaBi4
_chemical_formula_sum 'Pm10 Ga2 Bi8'
_space_group_name_H-M_alt 'I 4/m'
_space_group_IT_number 87
_space_group_name_Hall '-I 4'
_cell_length_a 10.1186
_cell_length_b 10.1186
_cell_length_c 6.4016
_cell_angle_alpha 90.00
_cell_angle_beta 90.00
_cell_angle_gamma 90.00
loop_
_atom_site_label
_atom_site_fract_x
_atom_site_fract_y
_atom_site_fract_z
Pm1 0.0000 0.0000 0.0000
Pm2 0.1007 0.7056 0.5000
Ga1 0.0000 0.0000 0.5000
Bi1 0.0960 0.6986 0.0000
# ΔE_f: -7.82 eV per formula unit
# VASP energy: -5.012 eV/atom

[10]
# PBE AlMo2W, optimized geometry
data_AlMo2W
_chemical_formula_sum 'Al1 Mo2 W1'
_space_group_name_H-M_alt 'P 4 m m'
_space_group_IT_number 99
_cell_length_a 3.3012
_cell_length_b 3.3012
_cell_length_c 5.7581
_cell_angle_alpha 90.00
_cell_angle_beta 90.00
_cell_angle_gamma 90.00
loop_
_space_group_symop_operation_xyz
'x,y,z'
'-y,x,z'
'-x,-y,z'
'y,-x,z'
'-x,y,z'
'y,x,z'
'x,-y,z'
'-y,-x,z'
loop_
_atom_site_label
_atom_site_fract_x
_atom_site_fract_y
_atom_site_fract_z
Al1 0.0000 0.0000 0.0000
Mo1 0.0000 0.0000 0.4995
Mo2 0.5000 0.5000 0.2411
W1 0.5000 0.5000 0.7521
# ΔE_f: 0.19 eV per formula unit
# VASP energy: -9.542 eV/atom

[11]
# PBE ZnInAs2, optimized geometry
data_ZnInAs2
_chemical_formula_sum 'Zn2 In2 As4'
_space_group_name_H-M_alt 'I 4/m m m'
_space_group_IT_number 139
_space_group_name_Hall '-I 4 2'
_cell_length_a 4.4551
_cell_length_b 4.4551
_cell_length_c 8.2659
_cell_angle_alpha 90.00
_cell_angle_beta 90.00
_cell_angle_gamma 90.00
loop_
_atom_site_label
_atom_site_fract_x
_atom_site_fract_y
_atom_site_fract_z
Zn1 0.0000 0.0000 0.0000
In1 0.0000 0.0000 0.5000
As1 0.0000 0.5000 0.2500
# ΔE_f: 1.08 eV per formula unit
# VASP energy: -3.059 eV/atom

[12]
# PBE KLiFeN2, optimized geometry
data_KLiFeN2
_chemical_formula_sum 'K4 Li4 Fe4 N8'
_space_group_name_H-M_alt 'C 1 2/m 1'
_space_group_IT_number 12
_cell_length_a 10.8573
_cell_length_b 3.2665
_cell_length_c 7.6026
_cell_angle_alpha 90.00
_cell_angle_beta 100.82
_cell_angle_gamma 90.00
loop_
_space_group_symop_operation_xyz
'x,y,z'
'-x,-y,-z'
'-x,y,-z'
'x,-y,z'
'x+1/2,y+1/2,z'
'-x+1/2,-y+1/2,-z'
'-x+1/2,y+1/2,-z'
'x+1/2,-y+1/2,z'
loop_
_atom_site_label
_atom_site_fract_x
_atom_site_fract_y
_atom_site_fract_z
K1 0.1459 0.0000 0.1380
Li1 0.1911 0.0000 0.5538
Fe1 0.0540 0.5000 0.6589
N1 0.0968 0.0000 0.7617
N2 0.1126 0.5000 0.4416
# VASP energy: -5.804 eV/atom
# ΔE_f (raw): -0.180 eV per atom

[13]
# PBE Rb3LiRe2O8, optimized geometry
data_Rb3LiRe2O8
_chemical_formula_sum 'Rb3 Li1 Re2 O8'
_space_group_name_H-M_alt 'P -3 m 1'
_space_group_IT_number 164
_space_group_name_Hall '-P 3 2"'
_cell_length_a 6.1096
_cell_length_b 6.1096
_cell_length_c 7.9809
_cell_angle_alpha 90.00
_cell_angle_beta 90.00
_cell_angle_gamma 120.00
loop_
_atom_site_label
_atom_site_fract_x
_atom_site_fract_y
_atom_site_fract_z
Rb1 0.0000 0.0000 0.0000
Rb2 0.3333 0.6667 0.6637
Li1 0.0000 0.0000 0.5000
Re1 0.3333 0.6667 0.2329
O1 0.1741 0.3482 0.3185
O2 0.3333 0.6667 0.0089
# VASP energy: -6.659 eV/atom
# ΔE_f (raw): -1.704 eV per atom

[14]
# PBE LiAcRh2, optimized geometry
data_LiAcRh2
_chemical_formula_sum 'Li4 Ac4 Rh8'
_space_group_name_H-M_alt 'C m c m'
_space_group_IT_number 63
_space_group_name_Hall '-C 2c 2'
_cell_length_a 4.2563
_cell_length_b 10.3977
_cell_length_c 6.8839
_cell_angle_alpha 90.00
_cell_angle_beta 90.00
_cell_angle_gamma 90.00
loop_
_atom_site_label
_atom_site_fract_x
_atom_site_fract_y
_atom_site_fract_z
Li1 0.0000 0.1977 0.2500
Ac1 0.0000 0.0911 0.7500
Rh1 0.0000 0.3715 0.5487
# E above lowest polymorph: 0.055 eV/atom
# ΔE_f: -1.25 eV per formula unit
# VASP energy: -5.495 eV/atom

[15]
# PBE V2AsH2, optimized geometry
data_V2AsH2
_chemical_formula_sum 'V4 As2 H4'
_space_group_name_H-M_alt 'P 4/m b m'
_space_group_IT_number 127
_space_group_name_Hall '-P 4 2ab'
_cell_length_a 5.5360
_cell_length_b 5.5360
_cell_length_c 3.1784
_cell_angle_alpha 90.00
_cell_angle_beta 90.00
_cell_angle_gamma 90.00
loop_
_atom_site_label
_atom_site_fract_x
_atom_site_fract_y
_atom_site_fract_z
V1 0.1562 0.3438 0.0000
As1 0.0000 0.0000 0.5000
H1 0.0619 0.5619 0.5000
# E above lowest polymorph: 0.289 eV/atom
# VASP energy: -5.759 eV/atom

[16]
# PBE LiLaIO2, optimized geometry
data_LiLaIO2
_chemical_formula_sum 'Li1 La1 I1 O2'
_space_group_name_H-M_alt 'P 4/m m m'
_space_group_IT_number 123
_space_group_name_Hall '-P 4 2'
_cell_length_a 4.4015
_cell_length_b 4.4015
_cell_length_c 6.9940
_cell_angle_alpha 90.00
_cell_angle_beta 90.00
_cell_angle_gamma 90.00
loop_
_atom_site_label
_atom_site_fract_x
_atom_site_fract_y
_atom_site_fract_z
Li1 0.0000 0.0000 0.0000
La1 0.5000 0.5000 0.5000
I1 0.5000 0.5000 0.0000
O1 0.0000 0.5000 0.5000
# E above lowest polymorph: 0.000 eV/atom
# VASP energy: -5.355 eV/atom
# ΔE_f (raw): -1.694 eV per atom

[17]
# PBE YEr5Sc2, optimized geometry
data_YEr5Sc2
_chemical_formula_sum 'Y2 Er10 Sc4'
_space_group_name_H-M_alt 'I 4/m m m'
_space_group_IT_number 139
_space_group_name_Hall '-I 4 2'
_cell_length_a 6.9029
_cell_length_b 6.9029
_cell_length_c 9.7806
_cell_angle_alpha 90.00
_cell_angle_beta 90.00
_cell_angle_gamma 90.00
loop_
_atom_site_label
_atom_site_fract_x
_atom_site_fract_y
_atom_site_fract_z
Y1 0.0000 0.0000 0.0000
Er1 0.0000 0.0000 0.5000
Er2 0.2500 0.2500 0.2500
Sc1 0.0000 0.5000 0.0000
# E above lowest polymorph: 0.000 eV/atom
# ΔE_f: 0.36 eV per formula unit
# VASP energy: -5.197 eV/atom

[18]
# PBE La3Cu2Hg4, optimized geometry
data_La3Cu2Hg4
_chemical_formula_sum 'La6 Cu4 Hg8'
_space_group_name_H-M_alt 'C 1 2/m 1'
_space_group_IT_number 12
_cell_length_a 11.2468
_cell_length_b 4.8579
_cell_length_c 9.1609
_cell_angle_alpha 90.00
_cell_angle_beta 115.50
_cell_angle_gamma 90.00
loop_
_space_group_symop_operation_xyz
'x,y,z'
'-x,-y,-z'
'-x,y,-z'
'x,-y,z'
'x+1/2,y+1/2,z'
'-x+1/2,-y+1/2,-z'
'-x+1/2,y+1/2,-z'
'x+1/2,-y+1/2,z'
loop_
_atom_site_label
_atom_site_fract_x
_atom_site_fract_y
_atom_site_fract_z
La1 0.0000 0.0000 0.0000
La2 0.1671 0.5000 0.6556
Cu1 0.1024 0.5000 0.2752
Hg1 0.0525 0.0000 0.3755
Hg2 0.2180 0.5000 0.0677
# ΔE_f: -3.44 eV per formula unit
# VASP energy: -3.069 eV/atom

[19]
# PBE PuThHgTe, optimized geometry
data_PuThHgTe
_chemical_formula_sum 'Pu4 Th4 Hg4 Te4'
_space_group_name_H-M_alt 'F -4 3 m'
_space_group_IT_number 216
_space_group_name_Hall 'F -4 2 3'
_cell_length_a 7.6260
_cell_length_b 7.6260
_cell_length_c 7.6260
_cell_angle_alpha 90.00
_cell_angle_beta 90.00
_cell_angle_gamma 90.00
loop_
_atom_site_label
_atom_site_fract_x
_atom_site_fract_y
_atom_site_fract_z
Pu1 0.0000 0.0000 0.0000
Th1 0.0000 0.0000 0.5000
Hg1 0.2500 0.2500 0.2500
Te1 0.2500 0.2500 0.7500
# VASP energy: -6.737 eV/atom
# ΔE_f (raw): -0.438 eV per atom

[20]
# PBE Eu2InP, optimized geometry
data_Eu2InP
_chemical_formula_sum 'Eu2 In1 P1'
_space_group_name_H-M_alt 'P 4/m m m'
_space_group_IT_number 123
_space_group_name_Hall '-P 4 2'
_cell_length_a 3.7915
_cell_length_b 3.7915
_cell_length_c 7.3752
_cell_angle_alpha 90.00
_cell_angle_beta 90.00
_cell_angle_gamma 90.00
loop_
_atom_site_label
_atom_site_fract_x
_atom_site_fract_y
_atom_site_fract_z
Eu1 0.0000 0.0000 0.2095
In1 0.5000 0.5000 0.5000
P1 0.5000 0.5000 0.0000
# E above lowest polymorph: 0.000 eV/atom
# ΔE_f: -2.95 eV per formula unit
# VASP energy: -7.912 eV/atom

[21]
# PBE PmHoHg2, optimized geometry
data_PmHoHg2
_chemical_formula_sum 'Pm3 Ho3 Hg6'
_space_group_name_H-M_alt 'R -3 m'
_space_group_IT_number 166
_space_group_name_Hall '-R 3 2"'
_cell_length_a 3.7955
_cell_length_b 3.7955
_cell_length_c 27.8243
_cell_angle_alpha 90.00
_cell_angle_beta 90.00
_cell_angle_gamma 120.00
loop_
_atom_site_label
_atom_site_fract_x
_atom_site_fract_y
_atom_site_fract_z
Pm1 0.0000 0.0000 0.0000
Ho1 0.0000 0.0000 0.5000
Hg1 0.0000 0.0000 0.2471
# E above lowest polymorph: 0.145 eV/atom
# ΔE_f: -1.33 eV per formula unit
# VASP energy: -2.816 eV/atom

[22]
# PBE ZnRhCl3, optimized geometry
data_ZnRhCl3
_chemical_formula_sum 'Zn1 Rh1 Cl3'
_space_group_name_H-M_alt 'P m -3 m'
_space_group_IT_number 221
_space_group_name_Hall '-P 4 2 3'
_cell_length_a 4.8280
_cell_length_b 4.8280
_cell_length_c 4.8280
_cell_angle_alpha 90.00
_cell_angle_beta 90.00
_cell_angle_gamma 90.00
loop_
_atom_site_label
_atom_site_fract_x
_atom_site_fract_y
_atom_site_fract_z
Zn1 0.0000 0.0000 0.0000
Rh1 0.5000 0.5000 0.5000
Cl1 0.0000 0.0000 0.5000
# E above lowest polymorph: 0.183 eV/atom
# VASP energy: -2.796 eV/atom
# ΔE_f (raw): 0.037 eV per atom

[23]
# PBE Zr2AsH3, optimized geometry
data_Zr2AsH3
_chemical_formula_sum 'Zr8 As4 H12'
_space_group_name_H-M_alt 'C 1 2/m 1'
_space_group_IT_number 12
_cell_length_a 13.2261
_cell_length_b 3.4273
_cell_length_c 6.6125
_cell_angle_alpha 90.00
_cell_angle_beta 112.10
_cell_angle_gamma 90.00
loop_
_space_group_symop_operation_xyz
'x,y,z'
'-x,-y,-z'
'-x,y,-z'
'x,-y,z'
'x+1/2,y+1/2,z'
'-x+1/2,-y+1/2,-z'
'-x+1/2,y+1/2,-z'
'x+1/2,-y+1/2,z'
loop_
_atom_site_label
_atom_site_fract_x
_atom_site_fract_y
_atom_site_fract_z
Zr1 0.0293 0.0000 0.2565
Zr2 0.2036 0.5000 0.7156
As1 0.1272 0.5000 0.0549
H1 0.0725 0.5000 0.4351
H2 0.1056 0.0000 0.6619
H3 0.1926 0.0000 0.4751
# VASP energy: -5.927 eV/atom

[24]
# PBE K4Rb2CdBi2, optimized geometry
data_K4Rb2CdBi2
_chemical_formula_sum 'K8 Rb4 Cd2 Bi4'
_space_group_name_H-M_alt 'C 1 2/m 1'
_space_group_IT_number 12
_cell_length_a 16.2091
_cell_length_b 9.4219
_cell_length_c 6.0790
_cell_angle_alpha 90.00
_cell_angle_beta 108.01
_cell_angle_gamma 90.00
loop_
_space_group_symop_operation_xyz
'x,y,z'
'-x,-y,-z'
'-x,y,-z'
'x,-y,z'
'x+1/2,y+1/2,z'
'-x+1/2,-y+1/2,-z'
'-x+1/2,y+1/2,-z'
'x+1/2,-y+1/2,z'
loop_
_atom_site_label
_atom_site_fract_x
_atom_site_fract_y
_atom_site_fract_z
K1 0.1362 0.2164 0.1589
Rb1 0.1394 0.5000 0.6661
Cd1 0.0000 0.0000 0.5000
Bi1 0.1866 0.0000 0.6981
# ΔE_f: -2.23 eV per formula unit
# VASP energy: -1.914 eV/atom

no.,spin magnetization (μB/atom)
1,0.000
2,0.000
3,0.000
4,0.000
5,0.328
6,0.000
7,0.000
8,0.000
9,0.000
10,0.000
11,0.000
12,0.229
13,0.143
14,0.000
15,0.000
16,0.106
17,0.000
18,0.000
19,1.653
20,3.494
21,0.000
22,0.400
23,0.000
24,0.000